# BaLaSbTe2

Crystalline BaLaSbTe2 at its relaxed geometry (PBE, Alexandria via LeMat-Bulk).

crystal system	tetragonal
total energy	-21.421	eV/f.u.

Cell lengths 6.1258, 6.1258, 6.0075 Å; angles 90.00, 90.00, 90.00 degrees
Closest atoms and distances in Å follow each position.
Space group P4/mmm (No. 123)
Asymmetric unit:
1 Ba 0.0000 0.0000 0.0000 [1 per cell]  8 Te 4.29, 4 Sb 4.33
2 La 0.5000 0.5000 0.5000 [1 per cell]  2 Sb 3.00, 4 Te 3.06
3 Sb 0.5000 0.5000 0.0000 [1 per cell]  2 La 3.00
4 Te 0.0000 0.5000 0.5000 [2 per cell]  2 La 3.06


# BaLaSb2Te

Crystalline BaLaSb2Te at its relaxed geometry (PBE, Alexandria via LeMat-Bulk).

crystal system	tetragonal
total energy	-17.396	eV/f.u.

Cell lengths 5.9417, 5.9417, 6.2197 Å; angles 90.00, 90.00, 90.00 degrees
Closest atoms and distances in Å follow each position.
Space group P4/mmm (No. 123)
Asymmetric unit:
1 Ba 0.0000 0.0000 0.0000 [1 per cell]  4 Sb 2.97, 2 Te 3.11
2 La 0.5000 0.5000 0.5000 [1 per cell]  4 Te 4.20, 8 Sb 4.30
3 Sb 0.0000 0.5000 0.0000 [2 per cell]  2 Ba 2.97
4 Te 0.0000 0.0000 0.5000 [1 per cell]  2 Ba 3.11


# BaLaSb2Te

Crystalline BaLaSb2Te at its relaxed geometry (PBE, Alexandria via LeMat-Bulk).

crystal system	tetragonal
total energy	-20.995	eV/f.u.

Cell lengths 6.0275, 6.0275, 6.1166 Å; angles 90.00, 90.00, 90.00 degrees
Closest atoms and distances in Å follow each position.
Space group P4/mmm (No. 123)
Asymmetric unit:
1 Ba 0.0000 0.0000 0.0000 [1 per cell]  4 Te 4.26, 8 Sb 4.29
2 La 0.5000 0.5000 0.5000 [1 per cell]  4 Sb 3.01, 2 Te 3.06
3 Sb 0.0000 0.5000 0.5000 [2 per cell]  2 La 3.01
4 Te 0.5000 0.5000 0.0000 [1 per cell]  2 La 3.06


# BaLaSbTe2

Crystalline BaLaSbTe2 at its relaxed geometry (PBE, Alexandria via LeMat-Bulk).

crystal system	tetragonal
total energy	-17.509	eV/f.u.

Cell lengths 6.1990, 6.1990, 5.9665 Å; angles 90.00, 90.00, 90.00 degrees
Closest atoms and distances in Å follow each position.
Space group P4/mmm (No. 123)
Asymmetric unit:
1 Ba 0.0000 0.0000 0.0000 [1 per cell]  2 Sb 2.98, 4 Te 3.10
2 La 0.5000 0.5000 0.5000 [1 per cell]  8 Te 4.30, 4 Sb 4.38
3 Sb 0.0000 0.0000 0.5000 [1 per cell]  2 Ba 2.98
4 Te 0.0000 0.5000 0.0000 [2 per cell]  2 Ba 3.10


# Ba3LaTh2Sb6

Crystalline Ba3LaTh2Sb6 at its relaxed geometry (PBE, Alexandria via LeMat-Bulk).

crystal system	monoclinic
total energy	-62.524	eV/f.u.

Cell lengths 8.1744, 14.1706, 8.4482 Å; angles 90.00, 108.85, 90.00 degrees
Closest atoms and distances in Å follow each position.
Space group C2/m (No. 12)
Asymmetric unit:
1 Ba 0.0000 0.0000 0.0000 [2 per cell]  6 Sb 3.50-3.56
2 Ba 0.0000 0.3351 0.0000 [4 per cell]  6 Sb 3.51-3.56
3 La 0.0000 0.5000 0.5000 [2 per cell]  6 Sb 3.28
4 Th 0.0000 0.1670 0.5000 [4 per cell]  6 Sb 3.21
5 Sb 0.2323 0.0000 0.7175 [4 per cell]  2 Th 3.21, 1 La 3.28, 3 Ba 3.50-3.55
6 Sb 0.2429 0.3300 0.7184 [8 per cell]  2 Th 3.21, 1 La 3.28, 3 Ba 3.51-3.56


# BaLaSc2

Crystalline BaLaSc2 at its relaxed geometry (PBE, Alexandria via LeMat-Bulk).

formation energy from the elements	299	meV/atom
crystal system	orthorhombic

Cell lengths 7.7783, 8.9717, 3.8389 Å; angles 90.00, 90.00, 90.00 degrees
Closest atoms and distances in Å follow each position.
Space group Cmmm (No. 65)
Asymmetric unit:
1 Ba 0.0000 0.0000 0.0000 [2 per cell]  8 Sc 3.54, 2 Ba 3.84, 2 La 3.89
2 La 0.0000 0.5000 0.0000 [2 per cell]  8 Sc 3.54, 2 La 3.84, 2 Ba 3.89
3 Sc 0.2500 0.2500 0.5000 [4 per cell]  4 Ba 3.54, 4 La 3.54, 4 Sc 3.84-3.89


| no. | magnetization (μB per cell) |
| --- | --- |
| 1 | 0.000 |
| 2 | 0.159 |
| 3 | 0.000 |
| 4 | 0.198 |
| 5 | 0.000 |
| 6 | 0.002 |